[1]
Computed, not measured: an optimized crystal structure of Re3TcW at the PBEsol level of DFT.

Calculated density ... 14.2 Mg/m³
E ... -10.369 eV/atom

The structure in CIF format:
```
data_Re3TcW
_symmetry_space_group_name_H-M 'P m -3 m'
_symmetry_Int_Tables_number 221
_symmetry_space_group_name_Hall '-P 4 2 3'
_cell_length_a 4.610
_cell_length_b 4.610
_cell_length_c 4.610
_cell_angle_alpha 90.00
_cell_angle_beta 90.00
_cell_angle_gamma 90.00
loop_
_atom_site_label
_atom_site_type_symbol
_atom_site_fract_x
_atom_site_fract_y
_atom_site_fract_z
Re1 Re 0.000 0.000 0.500
Tc1 Tc 0.500 0.500 0.500
W1 W 0.000 0.000 0.000
```

=====

[2]
Computed, not measured: an optimized crystal structure of Re2TcW at the PBEsol level of DFT.

Calculated density ... 18.3 Mg/m³
E ... -12.720 eV/atom

The structure in CIF format:
```
data_Re2TcW
_symmetry_space_group_name_H-M 'F m -3 m'
_symmetry_Int_Tables_number 225
_symmetry_space_group_name_Hall '-F 4 2 3'
_cell_length_a 6.191
_cell_length_b 6.191
_cell_length_c 6.191
_cell_angle_alpha 90.00
_cell_angle_beta 90.00
_cell_angle_gamma 90.00
loop_
_atom_site_label
_atom_site_type_symbol
_atom_site_fract_x
_atom_site_fract_y
_atom_site_fract_z
Re1 Re 0.250 0.250 0.250
Tc1 Tc 0.000 0.000 0.000
W1 W 0.000 0.000 0.500
```

=====

[3]
Computed, not measured: an optimized crystal structure of ReTcW at the PBEsol level of DFT.

Calculated density ... 17.4 Mg/m³
E ... -12.619 eV/atom

The structure in CIF format:
```
data_ReTcW
_symmetry_space_group_name_H-M 'F m m 2'
_symmetry_Int_Tables_number 42
_symmetry_space_group_name_Hall 'F 2 -2'
_cell_length_a 3.102
_cell_length_b 4.396
_cell_length_c 13.067
_cell_angle_alpha 90.00
_cell_angle_beta 90.00
_cell_angle_gamma 90.00
loop_
_atom_site_label
_atom_site_type_symbol
_atom_site_fract_x
_atom_site_fract_y
_atom_site_fract_z
Re1 Re 0.000 0.000 0.000
Tc1 Tc 0.000 0.000 0.666
W1 W 0.000 0.000 0.332
```

=====

[4]
Computed, not measured: an optimized crystal structure of YReTc2 at the PBEsol level of DFT.

Calculated density ... 11.7 Mg/m³
E ... -10.520 eV/atom

The structure in CIF format:
```
data_YReTc2
_symmetry_space_group_name_H-M 'P 4/m m m'
_symmetry_Int_Tables_number 123
_symmetry_space_group_name_Hall '-P 4 2'
_cell_length_a 3.128
_cell_length_b 3.128
_cell_length_c 6.814
_cell_angle_alpha 90.00
_cell_angle_beta 90.00
_cell_angle_gamma 90.00
loop_
_atom_site_label
_atom_site_type_symbol
_atom_site_fract_x
_atom_site_fract_y
_atom_site_fract_z
Y1 Y 0.000 0.000 0.000
Re1 Re 0.000 0.000 0.500
Tc1 Tc 0.500 0.500 0.284
```

=====

[5]
Computed, not measured: an optimized crystal structure of Y2ReTc at the PBEsol level of DFT.

Calculated density ... 10.2 Mg/m³
E ... -9.117 eV/atom

The structure in CIF format:
```
data_Y2ReTc
_symmetry_space_group_name_H-M 'P 1 2/m 1'
_symmetry_Int_Tables_number 10
_cell_length_a 2.974
_cell_length_b 4.569
_cell_length_c 5.603
_cell_angle_alpha 90.00
_cell_angle_beta 98.37
_cell_angle_gamma 90.00
loop_
_symmetry_equiv_pos_as_xyz
'x,y,z'
'-x,-y,-z'
'-x,y,-z'
'x,-y,z'
loop_
_atom_site_label
_atom_site_type_symbol
_atom_site_fract_x
_atom_site_fract_y
_atom_site_fract_z
Y1 Y 0.239 0.000 0.251
Re1 Re 0.500 0.500 0.000
Tc1 Tc 0.000 0.500 0.500
```

=====

[6]
Computed, not measured: an optimized crystal structure of Y2ReTc at the PBEsol level of DFT.

Calculated density ... 10.2 Mg/m³
E ... -9.115 eV/atom

The structure in CIF format:
```
data_Y2ReTc
_symmetry_space_group_name_H-M 'P m m m'
_symmetry_Int_Tables_number 47
_cell_length_a 3.350
_cell_length_b 4.574
_cell_length_c 4.915
_cell_angle_alpha 90.00
_cell_angle_beta 90.00
_cell_angle_gamma 90.00
loop_
_symmetry_equiv_pos_as_xyz
'x,y,z'
'-x,-y,-z'
'-x,-y,z'
'x,y,-z'
'x,-y,-z'
'-x,y,z'
'-x,y,-z'
'x,-y,z'
loop_
_atom_site_label
_atom_site_type_symbol
_atom_site_fract_x
_atom_site_fract_y
_atom_site_fract_z
Y1 Y 0.000 0.000 0.000
Y2 Y 0.500 0.000 0.500
Re1 Re 0.000 0.500 0.500
Tc1 Tc 0.500 0.500 0.000
```